1.
Compound: Hf3CdH
Source: Alexandria via LeMat-Bulk
Functional: GGA-PBE
Structure: relaxed

E_tot = -6.97 eV/atom
Offset from the most stable computed form = 23 meV per atom
Size of the total moment = 0.0 μB/f.u.
Crystal system = monoclinic

abc: 4.4636 4.4636 9.0895
angles: 90.02 90.02 90.29
Fractional coordinates of all 10 atoms:
Hf: 0.0000 0.0000 0.0000
Hf: 0.0034 0.5143 0.2511
Hf: 0.0079 0.5072 0.7547
Hf: 0.5072 0.0079 0.7547
Hf: 0.5143 0.0034 0.2511
Hf: 0.5165 0.5165 0.9975
Cd: 0.0077 0.0077 0.5025
Cd: 0.5090 0.5090 0.4915
H: 0.2570 0.2570 0.1309
H: 0.5038 0.5038 0.7721

2.
Compound: Hf3CdH
Source: Alexandria via LeMat-Bulk
Functional: GGA-PBE
Structure: relaxed

E_tot = -6.87 eV/atom
Offset from the most stable computed form = 123 meV per atom
Size of the total moment = 0.0 μB/f.u.
Crystal system = monoclinic

abc: 7.7203 6.1149 10.4839
angles: 90.00 132.51 90.00
Fractional coordinates of all 20 atoms:
Hf: 0.0057 0.0109 0.2576
Hf: 0.0057 0.4891 0.7576
Hf: 0.2362 0.0980 0.1153
Hf: 0.2362 0.4020 0.6153
Hf: 0.4936 0.7471 0.9933
Hf: 0.4936 0.7529 0.4933
Hf: 0.5064 0.2471 0.5067
Hf: 0.5064 0.2529 0.0067
Hf: 0.7638 0.5980 0.3847
Hf: 0.7638 0.9020 0.8847
Hf: 0.9943 0.5109 0.2424
Hf: 0.9943 0.9891 0.7424
Cd: 0.2451 0.6073 0.1197
Cd: 0.2451 0.8927 0.6197
Cd: 0.7549 0.1073 0.3803
Cd: 0.7549 0.3927 0.8803
H: 0.1867 0.2486 0.7620
H: 0.1867 0.2514 0.2620
H: 0.8133 0.7486 0.7380
H: 0.8133 0.7514 0.2380

3.
Compound: Hf2CdH
Source: Alexandria via LeMat-Bulk
Functional: GGA-PBE
Structure: relaxed

E_tot = -5.55 eV/atom
Offset from the most stable computed form = 583 meV per atom
Size of the total moment = 0.0 μB/f.u.
Crystal system = cubic

abc: 4.6779 4.6779 4.6779
angles: 60.00 60.00 60.00
Fractional coordinates of all 4 atoms:
Hf: 0.2500 0.2500 0.2500
Hf: 0.7500 0.7500 0.7500
Cd: 0.0000 0.0000 0.0000
H: 0.5000 0.5000 0.5000

4.
Compound: Hf3CdH
Source: Alexandria via LeMat-Bulk
Functional: GGA-PBE
Structure: relaxed

E_tot = -6.84 eV/atom
Offset from the most stable computed form = 148 meV per atom
Size of the total moment = 0.0 μB/f.u.
Crystal system = monoclinic

abc: 8.2012 8.2012 5.8921
angles: 106.07 106.07 83.51
Fractional coordinates of all 20 atoms:
Hf: 0.0286 0.4271 0.7121
Hf: 0.0703 0.1843 0.1932
Hf: 0.1843 0.0703 0.6932
Hf: 0.3284 0.3991 0.1014
Hf: 0.3991 0.3284 0.6014
Hf: 0.4271 0.0286 0.2121
Hf: 0.5729 0.9714 0.7879
Hf: 0.6009 0.6716 0.3986
Hf: 0.6716 0.6009 0.8986
Hf: 0.8157 0.9297 0.3068
Hf: 0.9297 0.8157 0.8068
Hf: 0.9714 0.5729 0.2879
Cd: 0.2134 0.7866 0.2500
Cd: 0.2972 0.7028 0.7500
Cd: 0.7028 0.2972 0.2500
Cd: 0.7866 0.2134 0.7500
H: 0.1892 0.4074 0.3433
H: 0.4074 0.1892 0.8433
H: 0.5926 0.8108 0.1567
H: 0.8108 0.5926 0.6567

5.
Compound: Hf3CdH
Source: Alexandria via LeMat-Bulk
Functional: GGA-PBE
Structure: relaxed

E_tot = -6.59 eV/atom
Offset from the most stable computed form = 401 meV per atom
Size of the total moment = 0.0 μB/f.u.
Crystal system = orthorhombic

abc: 5.5846 8.6605 7.8486
angles: 90.00 90.00 90.00
Fractional coordinates of all 20 atoms:
Hf: 0.9999 0.0910 0.1448
Hf: 0.9999 0.4090 0.1448
Hf: 0.0001 0.5910 0.8552
Hf: 0.0001 0.9090 0.8552
Hf: 0.2503 0.2500 0.7495
Hf: 0.2497 0.7500 0.2495
Hf: 0.4999 0.0910 0.3552
Hf: 0.4999 0.4090 0.3552
Hf: 0.5001 0.5910 0.6448
Hf: 0.5001 0.9090 0.6448
Hf: 0.7503 0.2500 0.7505
Hf: 0.7497 0.7500 0.2505
Cd: 0.0000 0.0000 0.5000
Cd: 0.0000 0.5000 0.5000
Cd: 0.5000 0.0000 0.0000
Cd: 0.5000 0.5000 0.0000
H: 0.0007 0.2500 0.9539
H: 0.4993 0.7500 0.4539
H: 0.5007 0.2500 0.5461
H: 0.9993 0.7500 0.0461

6.
Compound: Hf2CdH
Source: Alexandria via LeMat-Bulk
Functional: GGA-PBE
Structure: relaxed

E_tot = -5.99 eV/atom
Offset from the most stable computed form = 142 meV per atom
Size of the total moment = 0.0 μB/f.u.
Crystal system = tetragonal

abc: 5.6513 5.6513 5.6513
angles: 109.81 109.81 108.80
Fractional coordinates of all 8 atoms:
Hf: 0.0259 0.6250 0.9009
Hf: 0.3750 0.2759 0.4009
Hf: 0.7241 0.1250 0.0991
Hf: 0.8750 0.9741 0.5991
Cd: 0.2500 0.7500 0.5000
Cd: 0.5000 0.5000 0.0000
H: 0.0000 0.0000 0.0000
H: 0.7500 0.2500 0.5000

7.
Compound: Hf3CdH
Source: Alexandria via LeMat-Bulk
Functional: GGA-PBE
Structure: relaxed

E_tot = -6.98 eV/atom
Offset from the most stable computed form = 15 meV per atom
Size of the total moment = 0.0 μB/f.u.
Crystal system = tetragonal

abc: 4.4007 4.4007 9.2710
angles: 90.00 90.00 90.00
Fractional coordinates of all 10 atoms:
Hf: 0.2500 0.2500 0.0028
Hf: 0.2500 0.7500 0.2423
Hf: 0.2500 0.7500 0.7577
Hf: 0.7500 0.2500 0.2423
Hf: 0.7500 0.2500 0.7577
Hf: 0.7500 0.7500 0.9972
Cd: 0.2500 0.2500 0.5089
Cd: 0.7500 0.7500 0.4911
H: 0.2500 0.2500 0.2231
H: 0.7500 0.7500 0.7769

8.
Compound: Hf3CdH
Source: Alexandria via LeMat-Bulk
Functional: GGA-PBE
Structure: relaxed

E_tot = -6.90 eV/atom
Offset from the most stable computed form = 96 meV per atom
Size of the total moment = 0.0 μB/f.u.
Crystal system = orthorhombic

abc: 3.1769 5.4223 5.4223
angles: 77.73 90.00 90.00
Fractional coordinates of all 5 atoms:
Hf: 0.0000 0.0000 0.0000
Hf: 0.5000 0.0224 0.4811
Hf: 0.5000 0.4811 0.0224
Cd: 0.0000 0.5139 0.5139
H: 0.5000 0.8507 0.8507

| no. | theoretical density (Mg/m³) |
| --- | --- |
| 1 | 11.9 |
| 2 | 11.8 |
| 3 | 10.8 |
| 4 | 11.8 |
| 5 | 11.4 |
| 6 | 11.2 |
| 7 | 12.0 |
| 8 | 11.8 |